! VP2Pb2O9 meta-GGA SCAN single point on PBEsol structure; values from VASP
! symmetry = No. 14
! ρ = 5.85 g/cm³
! total moment = 1.00 μB per formula unit
! crystal system = monoclinic
! E_tot = -19.836 eV/atom
&SYSTEM
  ibrav = 0, nat = 56, ntyp = 4
/
ATOMIC_SPECIES
O 16.00 O.upf
Pb 207.20 Pb.upf
V 50.94 V.upf
P 30.97 P.upf
CELL_PARAMETERS angstrom
8.7485 0.0000 0.0421
0.0000 9.0218 0.0000
-1.7510 0.0000 9.6540
ATOMIC_POSITIONS crystal
O 0.1629 0.0875 0.7034
O 0.1124 0.6605 0.0727
O 0.9245 0.1525 0.1313
O 0.3876 0.1605 0.9273
O 0.6124 0.8395 0.0727
O 0.3758 0.5956 0.5616
O 0.1242 0.0956 0.4384
O 0.0755 0.8475 0.8687
O 0.8847 0.6477 0.8706
O 0.7461 0.6270 0.5602
O 0.2274 0.4646 0.9006
O 0.8758 0.9044 0.5616
O 0.8371 0.9125 0.2966
O 0.8983 0.3889 0.5883
O 0.3371 0.5875 0.2966
O 0.3983 0.1111 0.5883
O 0.6017 0.8889 0.4117
O 0.9196 0.8502 0.0628
O 0.1153 0.3523 0.1294
O 0.7539 0.1270 0.4398
O 0.5755 0.6525 0.8687
O 0.6153 0.1477 0.1294
O 0.2461 0.8730 0.5602
O 0.5804 0.3502 0.9372
O 0.3847 0.8523 0.8706
O 0.0804 0.1498 0.9372
O 0.8876 0.3395 0.9273
O 0.2726 0.9646 0.0994
O 0.7274 0.0354 0.9006
O 0.4196 0.6498 0.0628
O 0.6629 0.4125 0.7034
O 0.1017 0.6111 0.4117
O 0.7726 0.5354 0.0994
O 0.4245 0.3475 0.1313
O 0.6242 0.4044 0.4384
O 0.2539 0.3730 0.4398
Pb 0.9796 0.3074 0.3608
Pb 0.6078 0.6466 0.2846
Pb 0.1078 0.8534 0.2846
Pb 0.4796 0.1926 0.3608
Pb 0.5204 0.8074 0.6392
Pb 0.0204 0.6926 0.6392
Pb 0.3922 0.3534 0.7154
Pb 0.8922 0.1466 0.7154
V 0.7585 0.0009 0.0646
V 0.7415 0.5009 0.9354
V 0.2415 0.9991 0.9354
V 0.2585 0.4991 0.0646
P 0.4967 0.7506 0.9672
P 0.2311 0.0438 0.5734
P 0.7689 0.9562 0.4266
P 0.7311 0.4562 0.5734
P 0.9967 0.7494 0.9672
P 0.0033 0.2506 0.0328
P 0.2689 0.5438 0.4266
P 0.5033 0.2494 0.0328

! La3Lu meta-GGA SCAN single point on PBEsol structure; values from VASP
! symmetry = No. 139
! ρ = 7.59 g/cm³
! total moment = 0.00 μB per formula unit
! crystal system = tetragonal
! E_tot = -46.145 eV/atom
! N(E_F) = 1.3937 states/eV/atom
! energy of formation = 0.0196 eV/atom
&SYSTEM
  ibrav = 0, nat = 4, ntyp = 2
/
ATOMIC_SPECIES
La 138.91 La.upf
Lu 174.97 Lu.upf
CELL_PARAMETERS angstrom
5.0443 0.0000 0.0000
0.0000 5.0443 0.0000
-2.5222 -2.5222 5.0849
ATOMIC_POSITIONS crystal
La 0.5000 0.5000 0.0000
La 0.2500 0.7500 0.5000
La 0.7500 0.2500 0.5000
Lu 0.0000 0.0000 0.0000

! AlCoAg2 meta-GGA SCAN single point on PBEsol structure; values from VASP
! symmetry = No. 123
! ρ = 8.84 g/cm³
! total moment = 1.80 μB per formula unit
! crystal system = tetragonal
! E_tot = -21.918 eV/atom
! N(E_F) = 0.3356 states/eV/atom
! energy of formation = 0.0296 eV/atom
&SYSTEM
  ibrav = 0, nat = 4, ntyp = 3
/
ATOMIC_SPECIES
Ag 107.87 Ag.upf
Al 26.98 Al.upf
Co 58.93 Co.upf
CELL_PARAMETERS angstrom
-1.1815 3.5098 -0.6844
-2.1970 -1.2812 -2.7775
-2.9923 -0.5007 2.5978
ATOMIC_POSITIONS crystal
Ag 0.5000 0.0000 0.0000
Ag 0.0000 0.5000 0.0000
Al 0.5000 0.5000 0.5000
Co 0.0000 0.0000 0.5000

! CdIn2SnAu2 meta-GGA SCAN single point on PBEsol structure; values from VASP
! symmetry = No. 160
! ρ = 10.26 g/cm³
! total moment = 0.00 μB per formula unit
! crystal system = trigonal
! E_tot = -45.528 eV/atom
! N(E_F) = 0.3398 states/eV/atom
! energy of formation = -0.2911 eV/atom
&SYSTEM
  ibrav = 0, nat = 6, ntyp = 4
/
ATOMIC_SPECIES
Cd 112.41 Cd.upf
Au 196.97 Au.upf
In 114.82 In.upf
Sn 118.71 Sn.upf
CELL_PARAMETERS angstrom
4.5813 0.0000 0.0000
2.2907 3.9675 0.0000
2.2907 1.3225 7.6082
ATOMIC_POSITIONS crystal
Cd 0.3764 0.3764 0.8710
Au 0.5015 0.5015 0.4955
Au 0.9981 0.9981 0.0057
In 0.1198 0.1198 0.6407
In 0.6288 0.6288 0.1137
Sn 0.8755 0.8755 0.3734